[1]
A plane-wave DFT calculation with GGA-PBE was carried out for Li2Hf2US6 after structural relaxation.

abc: 6.4286 6.4286 6.6038
angles: 99.32 99.32 120.43
With the nearest neighbours (Å) after each atom.
Positions (direct):
Li  0.8335  0.1665  0.0000  6 S 2.59-2.70
Li  0.1665  0.8335  0.0000  6 S 2.59-2.70
Hf  0.3349  0.6651  0.5000  6 S 2.58-2.59
Hf  0.6651  0.3349  0.5000  6 S 2.58-2.59
U  0.0000  0.0000  0.5000  6 S 2.71
S  0.7343  0.7343  0.7461  2 Hf 2.59, 2 Li 2.70, 1 U 2.71
S  0.0777  0.4296  0.7434  2 Hf 2.58-2.59, 2 Li 2.59-2.70, 1 U 2.71
S  0.2657  0.2657  0.2539  2 Hf 2.59, 2 Li 2.70, 1 U 2.71
S  0.4296  0.0777  0.7434  2 Hf 2.58-2.59, 2 Li 2.59-2.70, 1 U 2.71
S  0.9223  0.5704  0.2566  2 Hf 2.58-2.59, 2 Li 2.59-2.70, 1 U 2.71
S  0.5704  0.9223  0.2566  2 Hf 2.58-2.59, 2 Li 2.59-2.70, 1 U 2.71

energy relative to the elements, uncorrected	-1468	meV per atom

---

[2]
A plane-wave DFT calculation with GGA-PBE was carried out for Li3HfU2S6 after structural relaxation.

abc: 6.5039 6.5039 6.6550
angles: 99.36 99.36 120.02
With the nearest neighbours (Å) after each atom.
Positions (direct):
Li  0.1641  0.8359  0.5000  6 S 2.61-2.76
Li  0.8359  0.1641  0.5000  6 S 2.61-2.76
Li  0.5000  0.5000  0.5000  6 S 2.61-2.75
Hf  0.0000  0.0000  0.0000  6 S 2.61-2.62
U  0.3323  0.6677  0.0000  6 S 2.74
U  0.6677  0.3323  0.0000  6 S 2.74
S  0.9141  0.5972  0.7440  3 Li 2.61-2.76, 1 Hf 2.62, 2 U 2.74
S  0.7659  0.7659  0.2522  1 Hf 2.61, 3 Li 2.61-2.75, 2 U 2.74
S  0.0859  0.4028  0.2560  3 Li 2.61-2.76, 1 Hf 2.62, 2 U 2.74
S  0.5972  0.9141  0.7440  3 Li 2.61-2.76, 1 Hf 2.62, 2 U 2.74
S  0.2341  0.2341  0.7478  1 Hf 2.61, 3 Li 2.61-2.75, 2 U 2.74
S  0.4028  0.0859  0.2560  3 Li 2.61-2.76, 1 Hf 2.62, 2 U 2.74

energy relative to the elements, uncorrected	-1399	meV per atom

---

[3]
A plane-wave DFT calculation with GGA-PBE was carried out for Li3HfU3S8 after structural relaxation.

abc: 7.6426 7.6428 7.6722
angles: 119.87 90.01 120.00
With the nearest neighbours (Å) after each atom.
Positions (direct):
Li  0.0000  0.0000  0.0000  6 S 2.67-2.68
Li  0.0000  0.5000  0.0000  6 S 2.67-2.68
Li  0.5000  0.5000  0.0000  6 S 2.67-2.68
Hf  0.0000  0.0000  0.5000  6 S 2.58
U  0.5000  0.0000  0.5000  6 S 2.74-2.75
U  0.5000  0.5000  0.5000  6 S 2.74-2.75
U  0.0000  0.5000  0.5000  6 S 2.74-2.75
S  0.2463  0.4926  0.2388  3 Li 2.67, 3 U 2.75
S  0.7537  0.5074  0.7612  3 Li 2.67, 3 U 2.75
S  0.7614  0.5229  0.2561  1 Hf 2.58, 2 Li 2.68, 2 U 2.74
S  0.2386  0.4771  0.7439  1 Hf 2.58, 2 Li 2.68, 2 U 2.74
S  0.7614  0.9947  0.2561  1 Hf 2.58, 2 Li 2.68, 2 U 2.74
S  0.2386  0.0053  0.7439  1 Hf 2.58, 2 Li 2.68, 2 U 2.74
S  0.2333  0.9947  0.2561  1 Hf 2.58, 2 Li 2.68, 2 U 2.74
S  0.7667  0.0053  0.7439  1 Hf 2.58, 2 Li 2.68, 2 U 2.74

energy relative to the elements, uncorrected	-1417	meV per atom